1.
Material: ZrIn2As
Method: DFT, GGA-PBE
State: optimized geometry

Summary:
E	-4.847	eV per atom
spin magnetization	0.00	μB/f.u.
SG	P2/m (10)
energy of formation	-0.18	eV/atom

The structure in POSCAR format:
```
ZrIn2As
1.0
3.980 0.000 0.000
0.000 4.187 0.024
0.000 3.220 5.400
As In Zr
1 2 1
direct
0.000 0.000 0.500
0.500 0.500 0.000
0.000 0.000 0.000
0.500 0.500 0.500
```

---

2.
Material: ZrIn2As2
Method: DFT, GGA-PBE
State: optimized geometry

Summary:
E	-4.892	eV per atom
spin magnetization	0.00	μB/f.u.
SG	P4/mbm (127)
energy of formation	-0.23	eV/atom

The structure in POSCAR format:
```
ZrIn2As2
1.0
-1.414 5.737 -4.125
0.462 -4.122 -5.892
-4.229 -0.852 0.265
In Zr As
4 2 4
direct
0.835 0.335 0.500
0.665 0.835 0.500
0.165 0.665 0.500
0.335 0.165 0.500
0.000 0.000 0.000
0.500 0.500 0.000
0.852 0.648 0.000
0.148 0.352 0.000
0.352 0.852 0.000
0.648 0.148 0.000
```

---

3.
Material: Zr2InAs
Method: DFT, GGA-PBE
State: optimized geometry

Summary:
E	-6.674	eV per atom
spin magnetization	0.00	μB/f.u.
SG	P4/mmm (123)
energy of formation	-0.55	eV/atom

The structure in POSCAR format:
```
Zr2InAs
1.0
3.302 0.000 0.000
0.000 3.302 0.000
0.000 0.000 7.682
Zr In As
2 1 1
direct
0.000 0.000 0.037
0.000 0.000 0.463
0.500 0.500 0.750
0.500 0.500 0.250
```

---

4.
Material: Zr2InAs
Method: DFT, GGA-PBE
State: optimized geometry

Summary:
E	-6.657	eV per atom
spin magnetization	0.00	μB/f.u.
SG	P2/m (10)
energy of formation	-0.54	eV/atom

The structure in POSCAR format:
```
Zr2InAs
1.0
-1.539 3.188 -0.316
-2.445 -1.000 1.821
1.932 1.660 7.347
As Zr In
1 2 1
direct
0.500 0.250 0.250
0.000 0.447 0.472
0.000 0.053 0.028
0.500 0.750 0.750
```

---

5.
Material: Zr2InAs
Method: DFT, GGA-PBE
State: optimized geometry

Summary:
E	-6.765	eV per atom
spin magnetization	0.00	μB/f.u.
SG	R3m (160)
energy of formation	-0.64	eV/atom

The structure in POSCAR format:
```
Zr2InAs
1.0
-1.237 -3.437 -0.348
1.076 -2.058 -2.841
6.002 -4.433 3.113
Zr In As
2 1 1
direct
0.068 0.068 0.797
0.266 0.266 0.203
0.499 0.499 0.502
0.667 0.667 0.999
```

---

6.
Material: ZrIn2As
Method: DFT, GGA-PBE
State: optimized geometry

Summary:
E	-4.955	eV per atom
spin magnetization	0.00	μB/f.u.
SG	Cm (8)
energy of formation	-0.29	eV/atom

The structure in POSCAR format:
```
ZrIn2As
1.0
-1.291 5.095 0.786
-3.164 2.853 3.177
2.775 1.826 3.885
As In Zr
1 2 1
direct
0.241 0.241 0.367
0.986 0.986 0.961
0.747 0.747 0.774
0.526 0.526 0.398
```